{"formula": "LaPmCo10", "functional": "PBE", "state": "optimized geometry", "lattice_angstrom": [[-0.809, -3.196, -2.179], [3.455, -2.589, 2.516], [-6.041, -2.425, 5.799]], "species": ["La", "Pm", "Co", "Co", "Co", "Co", "Co", "Co", "Co", "Co", "Co", "Co"], "fractional_positions": [[0.000, 0.000, 0.000], [0.000, 0.500, 0.500], [0.000, 0.000, 0.328], [0.000, 0.500, 0.832], [0.000, 0.500, 0.168], [0.000, 0.000, 0.672], [0.500, 0.000, 0.500], [0.500, 0.500, 0.000], [0.500, 0.256, 0.256], [0.500, 0.744, 0.744], [0.500, 0.744, 0.256], [0.500, 0.256, 0.744]], "formation_energy_ev_per_atom": -0.0367, "dft_energy_ev_per_cell": -81.18, "m_tot_mub_per_cell": 13.847}